[1]
# PBE Ho2TmHfP4, relaxed
data_Ho2TmHfP4
_chemical_formula_sum 'Ho2 Tm1 Hf1 P4'
_cell_length_a 6.743
_cell_length_b 3.888
_cell_length_c 6.746
_cell_angle_alpha 90.00
_cell_angle_beta 109.26
_cell_angle_gamma 90.00
_symmetry_space_group_name_H-M 'P 1'
_symmetry_Int_Tables_number 1
loop_
_symmetry_equiv_pos_as_xyz
'x,y,z'
loop_
_atom_site_label
_atom_site_fract_x
_atom_site_fract_y
_atom_site_fract_z
_atom_site_occupancy
Ho1 0.000 0.000 0.000 1
Ho2 0.500 0.500 0.000 1
Tm1 0.000 0.500 0.500 1
Hf1 0.500 0.000 0.500 1
P1 0.255 0.000 0.742 1
P2 0.261 0.500 0.263 1
P3 0.739 0.500 0.737 1
P4 0.745 0.000 0.258 1
# - density of states at the Fermi level (states/eV/cell) = 1.40
# - ρ (kg/m³) = 7968
# - spin magnetization (μB/f.u.) = 0.00
# - formation energy (eV per atom) = -1.538

***

[2]
# PBE BaSr2MgCd, relaxed
data_BaSr2MgCd
_chemical_formula_sum 'Ba1 Sr2 Mg1 Cd1'
_cell_length_a 6.391
_cell_length_b 6.391
_cell_length_c 5.576
_cell_angle_alpha 90.00
_cell_angle_beta 90.00
_cell_angle_gamma 90.00
_symmetry_space_group_name_H-M 'P 1'
_symmetry_Int_Tables_number 1
loop_
_symmetry_equiv_pos_as_xyz
'x,y,z'
loop_
_atom_site_label
_atom_site_fract_x
_atom_site_fract_y
_atom_site_fract_z
_atom_site_occupancy
Ba1 0.000 0.000 0.000 1
Sr1 0.000 0.500 0.500 1
Sr2 0.500 0.000 0.500 1
Mg1 0.500 0.500 0.000 1
Cd1 0.500 0.500 0.500 1
# - density of states at the Fermi level (states/eV/cell) = 4.44
# - ρ (kg/m³) = 3275
# - spin magnetization (μB/f.u.) = 0.00
# - formation energy (eV per atom) = 0.008

***

[3]
# PBE Dy4TlTe, relaxed
data_Dy4TlTe
_chemical_formula_sum 'Dy16 Tl4 Te4'
_cell_length_a 7.376
_cell_length_b 4.659
_cell_length_c 20.970
_cell_angle_alpha 90.00
_cell_angle_beta 90.00
_cell_angle_gamma 90.00
_symmetry_space_group_name_H-M 'P 1'
_symmetry_Int_Tables_number 1
loop_
_symmetry_equiv_pos_as_xyz
'x,y,z'
loop_
_atom_site_label
_atom_site_fract_x
_atom_site_fract_y
_atom_site_fract_z
_atom_site_occupancy
Dy1 0.052 0.250 0.077 1
Dy2 0.070 0.250 0.359 1
Dy3 0.087 0.250 0.783 1
Dy4 0.140 0.250 0.528 1
Dy5 0.360 0.750 0.028 1
Dy6 0.413 0.750 0.283 1
Dy7 0.430 0.750 0.859 1
Dy8 0.448 0.750 0.577 1
Dy9 0.552 0.250 0.423 1
Dy10 0.570 0.250 0.141 1
Dy11 0.587 0.250 0.717 1
Dy12 0.640 0.250 0.972 1
Dy13 0.860 0.750 0.472 1
Dy14 0.913 0.750 0.217 1
Dy15 0.930 0.750 0.641 1
Dy16 0.948 0.750 0.923 1
Tl1 0.215 0.250 0.929 1
Tl2 0.285 0.750 0.429 1
Tl3 0.715 0.250 0.571 1
Tl4 0.785 0.750 0.071 1
Te1 0.204 0.250 0.216 1
Te2 0.296 0.750 0.716 1
Te3 0.704 0.250 0.284 1
Te4 0.796 0.750 0.784 1
# - density of states at the Fermi level (states/eV/cell) = 24.65
# - ρ (kg/m³) = 9051
# - spin magnetization (μB/f.u.) = 0.00
# - offset from the most stable computed form (meV/atom) = 27

***

[4]
# PBE CdFeIr2, relaxed
data_CdFeIr2
_chemical_formula_sum 'Cd3 Fe3 Ir6'
_cell_length_a 2.784
_cell_length_b 2.784
_cell_length_c 27.191
_cell_angle_alpha 90.00
_cell_angle_beta 90.00
_cell_angle_gamma 120.00
_symmetry_space_group_name_H-M 'P 1'
_symmetry_Int_Tables_number 1
loop_
_symmetry_equiv_pos_as_xyz
'x,y,z'
loop_
_atom_site_label
_atom_site_fract_x
_atom_site_fract_y
_atom_site_fract_z
_atom_site_occupancy
Cd1 0.000 0.000 0.000 1
Cd2 0.333 0.667 0.667 1
Cd3 0.667 0.333 0.333 1
Fe1 0.000 0.000 0.754 1
Fe2 0.333 0.667 0.421 1
Fe3 0.667 0.333 0.088 1
Ir1 0.000 0.000 0.244 1
Ir2 0.000 0.000 0.496 1
Ir3 0.333 0.667 0.162 1
Ir4 0.333 0.667 0.910 1
Ir5 0.667 0.333 0.577 1
Ir6 0.667 0.333 0.829 1
# - density of states at the Fermi level (states/eV/cell) = 9.52
# - ρ (kg/m³) = 15087
# - spin magnetization (μB/f.u.) = 2.30
# - formation energy (eV per atom) = 0.185